1.
Here is a relaxed TaAl2CuBi crystal from Alexandria. Energies are from GGA-PBE. Values from VASP.

Quantum ESPRESSO input file:
```
&SYSTEM
  ibrav = 0, nat = 5, ntyp = 4
/
ATOMIC_SPECIES
Ta 180.95 Ta.upf
Al 26.98 Al.upf
Cu 63.55 Cu.upf
Bi 208.98 Bi.upf
ATOMIC_POSITIONS angstrom
Ta 0.000 0.000 0.000
Al 0.000 2.643 2.678
Al 2.643 0.000 2.678
Cu 2.643 2.643 0.000
Bi 0.000 0.000 2.678
CELL_PARAMETERS angstrom
5.287 0.000 0.000
0.000 5.287 0.000
0.000 0.000 5.356
```

The formation energy comes out at 1912 meV per atom. The calculation puts the density at 5.6 g/cm³.


2.
Here is a relaxed LaSb2Pb2 crystal from Alexandria. Energies are from GGA-PBE. Values from VASP.

Quantum ESPRESSO input file:
```
&SYSTEM
  ibrav = 0, nat = 10, ntyp = 3
/
ATOMIC_SPECIES
La 138.91 La.upf
Sb 121.76 Sb.upf
Pb 207.20 Pb.upf
ATOMIC_POSITIONS angstrom
La 0.000 0.000 0.000
La 2.254 2.254 8.077
Sb 0.000 0.000 6.624
Sb 0.000 0.000 9.530
Sb 2.254 2.254 1.453
Sb 2.254 2.254 14.700
Pb 0.000 2.254 4.038
Pb 0.000 2.254 12.115
Pb 2.254 0.000 4.038
Pb 2.254 0.000 12.115
CELL_PARAMETERS angstrom
4.508 0.000 0.000
0.000 4.508 0.000
0.000 0.000 16.154
```

The uncorrected formation energy is -1.8 eV per formula unit. The calculation puts the density at 8.1 g/cm³.


3.
Here is a relaxed Tb3Pr2Er6 crystal from Alexandria. Energies are from GGA-PBE. Values from VASP.

Quantum ESPRESSO input file:
```
&SYSTEM
  ibrav = 0, nat = 11, ntyp = 3
/
ATOMIC_SPECIES
Tb 158.93 Tb.upf
Pr 140.91 Pr.upf
Er 167.26 Er.upf
ATOMIC_POSITIONS angstrom
Tb 0.000 0.000 0.000
Tb 3.048 1.742 0.000
Tb 3.048 -1.742 0.000
Pr 2.025 3.524 5.751
Pr 2.025 -3.524 5.751
Er 1.013 1.762 2.837
Er -0.010 0.000 8.666
Er 1.013 -1.762 2.837
Er 3.037 1.762 8.665
Er 4.061 0.000 2.836
Er 3.037 -1.762 8.665
CELL_PARAMETERS angstrom
3.048 -5.287 0.000
3.048 5.287 0.000
-2.046 0.000 11.502
```

The formation energy comes out at 183 meV per atom. For the polymorph energy (0 for the lowest one), the calculation gives 0 meV per atom. The calculation puts the density at 7.9 g/cm³.